[1]
Material: CdHgTe3Pb
Method: DFT, GGA-PBE
State: optimized geometry

The structure belongs to space group Cmcm (No. 63); the cell edges are 4.407, 16.182 and 10.665 Å and the angles 90.00°, 90.00° and 90.00°. The inequivalent atoms are Cd at (0.000, 0.037, 0.250), Hg at (0.000, 0.500, 0.000), Te at (0.000, 0.157, 0.056), Te at (0.000, 0.422, 0.250) and Pb at (0.000, 0.262, 0.750).

As for the calculated density: 7.89 g/cm3. The value obtained for the final energy is -2.53 eV per atom. For the energy above the most stable polymorph in this dataset, the calculation gives 0.0286 eV per atom. As for the volume: 761 Å³ per cell.

=====

[2]
Material: CdHg2Pd
Method: DFT, GGA-PBE
State: optimized geometry

The structure belongs to space group F-43m (No. 216); the cell edges are 6.846, 6.846 and 6.846 Å and the angles 90.00°, 90.00° and 90.00°. The inequivalent atoms are Cd at (0.000, 0.000, 0.000), Hg at (0.000, 0.000, 0.500), Hg at (0.250, 0.250, 0.250) and Pd at (0.250, 0.250, 0.750).

As for the calculated density: 12.84 g/cm3. Its formation energy is -0.024 eV per atom. The value obtained for the final energy is -1.69 eV per atom. As for the volume: 321 Å³ per cell.

=====

[3]
Material: CdHgPd2
Method: DFT, GGA-PBE
State: optimized geometry

The structure belongs to space group F-43m (No. 216); the cell edges are 6.587, 6.587 and 6.587 Å and the angles 90.00°, 90.00° and 90.00°. The inequivalent atoms are Cd at (0.000, 0.000, 0.000), Hg at (0.250, 0.250, 0.250), Pd at (0.000, 0.000, 0.500) and Pd at (0.250, 0.250, 0.750).

As for the calculated density: 12.22 g/cm3. Its formation energy is -0.175 eV per atom. The value obtained for the final energy is -3.06 eV per atom. As for the volume: 286 Å³ per cell.

=====

[4]
Material: Pm3CdHg5
Method: DFT, GGA-PBE
State: optimized geometry

The structure belongs to space group P6_3/mcm (No. 193); the cell edges are 9.1532, 9.1532 and 6.4497 Å and the angles 90.00°, 90.00° and 120.00°. The inequivalent atoms are Pm at (0.0000, 0.3478, 0.2500), Cd at (0.0000, 0.0000, 0.0000), Hg at (0.0000, 0.3164, 0.7500) and Hg at (0.3333, 0.6667, 0.0000).

As for the calculated density: 11.00 g/cm3. Its formation energy is -0.447 eV per atom. The value obtained for the final energy is -2.29 eV per atom. As for the volume: 468 Å³ per cell.